[1]
Below is a relaxed ZrZnW2 crystal, with properties calculated at the PBE level.

The crystal system is tetragonal. For the formation energy, the calculation gives 0.30 eV/atom. For the size of the total moment, the calculation gives 0.00 μB/f.u.

The structure in POSCAR format:
```
ZrZnW2
1.0
3.3920 0.0000 0.0000
0.0000 3.3920 0.0000
0.0000 0.0000 6.0111
W Zn Zr
2 1 1
direct
0.0000 0.0000 0.0415 W
0.0000 0.0000 0.4585 W
0.5000 0.5000 0.2500 Zn
0.5000 0.5000 0.7500 Zr
```


[2]
Below is a relaxed ZrZnW2 crystal, with properties calculated at the PBE level.

The crystal system is monoclinic. For the formation energy, the calculation gives 0.17 eV/atom. For the size of the total moment, the calculation gives 0.00 μB/f.u.

The structure in POSCAR format:
```
ZrZnW2
1.0
-4.1400 0.7704 -1.0974
-0.2085 -2.5840 -1.0277
-1.8374 -3.4102 4.5376
W Zn Zr
2 1 1
direct
0.0000 0.0455 0.0242 W
0.5000 0.2115 0.2381 W
0.0000 0.4694 0.4859 Zn
0.5000 0.7736 0.7518 Zr
```


[3]
Below is a relaxed ZrZnW2 crystal, with properties calculated at the PBE level.

The crystal system is monoclinic. For the formation energy, the calculation gives 0.23 eV/atom. For the size of the total moment, the calculation gives 0.00 μB/f.u.

The structure in POSCAR format:
```
ZrZnW2
1.0
5.5356 -0.0109 0.0159
-2.6893 4.8384 0.0159
0.5208 0.8833 2.5592
W Zn Zr
2 1 1
direct
0.0000 0.0000 0.0000 W
0.5000 0.5000 0.0000 W
0.5000 0.0000 0.5000 Zn
0.0000 0.5000 0.5000 Zr
```


[4]
Below is a relaxed ZrZn4W crystal, with properties calculated at the PBE level.

The crystal system is cubic. For the formation energy, the calculation gives -0.08 eV/atom. For the size of the total moment, the calculation gives 0.00 μB/f.u.

The structure in POSCAR format:
```
ZrZn4W
1.0
0.0000 3.5803 3.5803
3.5803 0.0000 3.5803
3.5803 3.5803 0.0000
Zr Zn W
1 4 1
direct
0.7500 0.7500 0.7500 Zr
0.8771 0.3743 0.3743 Zn
0.3743 0.3743 0.8771 Zn
0.3743 0.8771 0.3743 Zn
0.3743 0.3743 0.3743 Zn
0.0000 0.0000 0.0000 W
```


[5]
Below is a relaxed ZrZnW2 crystal, with properties calculated at the PBE level.

The crystal system is orthorhombic. For the formation energy, the calculation gives 0.27 eV/atom. For the size of the total moment, the calculation gives 0.00 μB/f.u.

The structure in POSCAR format:
```
ZrZnW2
1.0
2.7496 0.0283 0.0000
-0.6884 2.6622 0.0000
0.0000 0.0000 9.2608
W Zn Zr
2 1 1
direct
0.0000 0.0000 0.0180 W
0.0000 0.0000 0.4820 W
0.5000 0.5000 0.2500 Zn
0.5000 0.5000 0.7500 Zr
```


[6]
Below is a relaxed ZrZn2W crystal, with properties calculated at the PBE level.

The crystal system is monoclinic. For the formation energy, the calculation gives 0.18 eV/atom. For the size of the total moment, the calculation gives 0.00 μB/f.u.

The structure in POSCAR format:
```
ZrZn2W
1.0
-0.3862 -3.7478 -3.3262
1.7085 -4.4957 -1.4589
-3.2348 -2.9982 2.4278
W Zn Zr
1 2 1
direct
0.7500 0.7500 0.7500 W
0.0064 0.0064 0.9726 Zn
0.4936 0.4936 0.5274 Zn
0.2500 0.2500 0.2500 Zr
```


[7]
Below is a relaxed ZrZnW crystal, with properties calculated at the PBE level.

The crystal system is trigonal. For the formation energy, the calculation gives 0.21 eV/atom. For the size of the total moment, the calculation gives 0.00 μB/f.u.

The structure in POSCAR format:
```
ZrZnW
1.0
-0.1091 -4.6928 -1.1691
3.8768 2.6768 -1.0984
1.0758 -0.6042 2.3247
W Zn Zr
1 1 1
direct
0.0000 0.0000 0.0756 W
0.6667 0.3333 0.2603 Zn
0.3333 0.6667 0.6640 Zr
```


[8]
Below is a relaxed ZrZn2W crystal, with properties calculated at the PBE level.

The crystal system is tetragonal. For the formation energy, the calculation gives 0.21 eV/atom. For the size of the total moment, the calculation gives 0.00 μB/f.u.

The structure in POSCAR format:
```
ZrZn2W
1.0
-3.1019 3.7422 -0.5662
-3.4263 -2.4655 2.4755
0.9051 1.1065 2.3548
W Zn Zr
1 2 1
direct
0.0000 0.5000 0.5000 W
0.0000 0.0000 0.0000 Zn
0.5000 0.5000 0.0000 Zn
0.5000 0.0000 0.5000 Zr
```